[1]
Density functional theory data (PBE) for TmCdSnTe3 after structural relaxation.

Summary:
**SG**: No. 63

```
data_TmCdSnTe3
_chemical_formula_sum 'Tm2 Cd2 Sn2 Te6'
_cell_length_a 7.661
_cell_length_b 7.661
_cell_length_c 11.158
_cell_angle_alpha 90.00
_cell_angle_beta 90.00
_cell_angle_gamma 146.85
_space_group_name_H-M_alt 'P 1'
_space_group_IT_number 1
loop_
_space_group_symop_operation_xyz
'x,y,z'
loop_
_atom_site_label
_atom_site_fract_x
_atom_site_fract_y
_atom_site_fract_z
Cd1 0.974 0.026 0.250
Cd2 0.026 0.974 0.750
Sn1 0.291 0.709 0.250
Sn2 0.709 0.291 0.750
Te1 0.855 0.145 0.044
Te2 0.602 0.398 0.250
Te3 0.855 0.145 0.456
Te4 0.145 0.855 0.544
Te5 0.398 0.602 0.750
Te6 0.145 0.855 0.956
Tm1 0.500 0.500 0.000
Tm2 0.500 0.500 0.500
```

[2]
Density functional theory data (PBE) for Ba3PrAg4 after structural relaxation.

Summary:
**SG**: No. 6

```
data_Ba3PrAg4
_chemical_formula_sum 'Ba3 Pr1 Ag4'
_cell_length_a 6.393
_cell_length_b 5.073
_cell_length_c 8.179
_cell_angle_alpha 90.00
_cell_angle_beta 92.60
_cell_angle_gamma 90.00
_space_group_name_H-M_alt 'P 1'
_space_group_IT_number 1
loop_
_space_group_symop_operation_xyz
'x,y,z'
loop_
_atom_site_label
_atom_site_fract_x
_atom_site_fract_y
_atom_site_fract_z
Ag1 0.109 0.500 0.022
Ag2 0.653 0.000 0.491
Ag3 0.372 0.500 0.547
Ag4 0.871 0.000 0.935
Ba1 0.637 0.500 0.186
Ba2 0.136 0.000 0.322
Ba3 0.361 0.000 0.817
Pr1 0.861 0.500 0.679
```

[3]
Density functional theory data (PBE) for Hf2Zr3Cu2 after structural relaxation.

Summary:
**SG**: No. 160

```
data_Hf2Zr3Cu2
_chemical_formula_sum 'Hf2 Zr3 Cu2'
_cell_length_a 7.375
_cell_length_b 7.375
_cell_length_c 7.375
_cell_angle_alpha 37.78
_cell_angle_beta 37.78
_cell_angle_gamma 37.78
_space_group_name_H-M_alt 'P 1'
_space_group_IT_number 1
loop_
_space_group_symop_operation_xyz
'x,y,z'
loop_
_atom_site_label
_atom_site_fract_x
_atom_site_fract_y
_atom_site_fract_z
Cu1 0.052 0.052 0.052
Cu2 0.485 0.485 0.485
Hf1 0.188 0.188 0.188
Hf2 0.769 0.769 0.769
Zr1 0.346 0.346 0.346
Zr2 0.616 0.616 0.616
Zr3 0.919 0.919 0.919
```

[4]
Density functional theory data (PBE) for GePd4Pb3 after structural relaxation.

Summary:
**SG**: No. 6

```
data_GePd4Pb3
_chemical_formula_sum 'Ge1 Pd4 Pb3'
_cell_length_a 6.555
_cell_length_b 3.833
_cell_length_c 6.603
_cell_angle_alpha 90.00
_cell_angle_beta 90.00
_cell_angle_gamma 90.00
_space_group_name_H-M_alt 'P 1'
_space_group_IT_number 1
loop_
_space_group_symop_operation_xyz
'x,y,z'
loop_
_atom_site_label
_atom_site_fract_x
_atom_site_fract_y
_atom_site_fract_z
Ge1 0.415 0.000 0.691
Pb1 0.102 0.000 0.208
Pb2 0.583 0.500 0.300
Pb3 0.908 0.500 0.817
Pd1 0.803 0.000 0.520
Pd2 0.208 0.500 0.525
Pd3 0.324 0.500 0.951
Pd4 0.658 0.000 0.988
```

The records above yield electronic total energy values of -44.700, -23.699, -52.835, -38.763 eV per cell, respectively.